(1)
A relaxed SiTcIr2 crystal. Source: Alexandria via LeMat-Bulk, functional PBE.

crystal system: orthorhombic

a = 2.777 Å, b = 3.779 Å, c = 5.351 Å
α = 90.00°, β = 90.00°, γ = 90.00°
Element x y z (fractional)
Si: 0.000 0.000 0.000
Tc: 0.000 0.000 0.500
Ir: 0.500 0.500 0.248
Ir: 0.500 0.500 0.752


(2)
A relaxed SiTcIr2 crystal. Source: Alexandria via LeMat-Bulk, functional PBE.

crystal system: orthorhombic

a = 5.149 Å, b = 5.149 Å, c = 5.149 Å
α = 147.53°, β = 129.65°, γ = 61.19°
Element x y z (fractional)
Si: 0.000 0.000 0.000
Tc: 0.500 0.500 0.000
Ir: 0.220 0.720 0.500
Ir: 0.780 0.280 0.500


Number 1: M_tot 0.00 μB/cell, final energy -8.573 eV/atom. Number 2: M_tot 0.00 μB/cell, final energy -8.646 eV/atom.